# Ca2SnSe3 | the Alexandria database | PBE | optimized geometry
# Space group ... No. 71
# Size of the total moment ... 0.00 μB/f.u.
# DOS(E_F) ... 0.00 states/eV per cell
# Raw total energy ... -4.5576 eV/atom
data_Ca2SnSe3
_cell_length_a 4.243
_cell_length_b 5.992
_cell_length_c 7.385
_cell_angle_alpha 113.93
_cell_angle_beta 106.70
_cell_angle_gamma 90.00
_symmetry_space_group_name_H-M 'P 1'
_symmetry_Int_Tables_number 1
loop_
_symmetry_equiv_pos_as_xyz
'x,y,z'
loop_
_atom_site_label
_atom_site_type_symbol
_atom_site_fract_x
_atom_site_fract_y
_atom_site_fract_z
Ca1 Ca 0.665 0.165 0.331
Ca2 Ca 0.335 0.835 0.669
Sn1 Sn 0.000 0.500 0.000
Se1 Se 0.329 0.329 0.658
Se2 Se 0.000 0.000 0.000
Se3 Se 0.671 0.671 0.342


# YSc2Cu2Ge2 | the Alexandria database | PBE | optimized geometry
# Formation energy from the elements ... -0.51 eV per atom
# Space group ... No. 166
# Size of the total moment ... 0.00 μB/f.u.
# DOS(E_F) ... 4.46 states/eV per cell
data_YSc2Cu2Ge2
_cell_length_a 4.312
_cell_length_b 4.312
_cell_length_c 8.493
_cell_angle_alpha 75.30
_cell_angle_beta 75.30
_cell_angle_gamma 60.00
_symmetry_space_group_name_H-M 'P 1'
_symmetry_Int_Tables_number 1
loop_
_symmetry_equiv_pos_as_xyz
'x,y,z'
loop_
_atom_site_label
_atom_site_type_symbol
_atom_site_fract_x
_atom_site_fract_y
_atom_site_fract_z
Y1 Y 0.000 0.000 0.000
Sc1 Sc 0.135 0.135 0.595
Sc2 Sc 0.865 0.865 0.405
Cu1 Cu 0.567 0.567 0.300
Cu2 Cu 0.433 0.433 0.700
Ge1 Ge 0.741 0.741 0.778
Ge2 Ge 0.259 0.259 0.222


# Cs6NbCl12 | the Alexandria database | PBE | optimized geometry
# Space group ... No. 148
# Size of the total moment ... 1.59 μB/f.u.
# DOS(E_F) ... 39.53 states/eV per cell
# Raw total energy ... -3.5478 eV/atom
data_Cs6NbCl12
_cell_length_a 9.791
_cell_length_b 9.791
_cell_length_c 9.791
_cell_angle_alpha 86.48
_cell_angle_beta 86.48
_cell_angle_gamma 86.48
_symmetry_space_group_name_H-M 'P 1'
_symmetry_Int_Tables_number 1
loop_
_symmetry_equiv_pos_as_xyz
'x,y,z'
loop_
_atom_site_label
_atom_site_type_symbol
_atom_site_fract_x
_atom_site_fract_y
_atom_site_fract_z
Cs1 Cs 0.993 0.239 0.526
Cs2 Cs 0.761 0.474 0.007
Cs3 Cs 0.474 0.007 0.761
Cs4 Cs 0.007 0.761 0.474
Cs5 Cs 0.239 0.526 0.993
Cs6 Cs 0.526 0.993 0.239
Nb1 Nb 0.000 0.000 0.000
Cl1 Cl 0.263 0.998 0.494
Cl2 Cl 0.998 0.494 0.263
Cl3 Cl 0.494 0.263 0.998
Cl4 Cl 0.737 0.002 0.506
Cl5 Cl 0.002 0.506 0.737
Cl6 Cl 0.506 0.737 0.002
Cl7 Cl 0.091 0.855 0.826
Cl8 Cl 0.174 0.909 0.145
Cl9 Cl 0.145 0.174 0.909
Cl10 Cl 0.909 0.145 0.174
Cl11 Cl 0.826 0.091 0.855
Cl12 Cl 0.855 0.826 0.091


# DyY2Mg | the Alexandria database | PBE | optimized geometry
# Formation energy from the elements ... 0.04 eV per atom
# Polymorph energy (0 for the lowest one) ... 77 meV/atom
# Space group ... No. 160
# Size of the total moment ... 0.00 μB/f.u.
# DOS(E_F) ... 6.13 states/eV per cell
data_DyY2Mg
_cell_length_a 3.515
_cell_length_b 3.515
_cell_length_c 11.547
_cell_angle_alpha 81.23
_cell_angle_beta 81.23
_cell_angle_gamma 59.91
_symmetry_space_group_name_H-M 'P 1'
_symmetry_Int_Tables_number 1
loop_
_symmetry_equiv_pos_as_xyz
'x,y,z'
loop_
_atom_site_label
_atom_site_type_symbol
_atom_site_fract_x
_atom_site_fract_y
_atom_site_fract_z
Dy1 Dy 0.667 0.667 0.000
Y1 Y 0.085 0.085 0.746
Y2 Y 0.249 0.249 0.254
Mg1 Mg 0.500 0.500 0.500


# Tb5CePb4 | the Alexandria database | PBE | optimized geometry
# Formation energy from the elements ... -0.41 eV per atom
# Space group ... No. 12
# Size of the total moment ... 1.10 μB/f.u.
# DOS(E_F) ... 13.24 states/eV per cell
data_Tb5CePb4
_cell_length_a 4.775
_cell_length_b 8.148
_cell_length_c 10.400
_cell_angle_alpha 125.27
_cell_angle_beta 103.27
_cell_angle_gamma 90.00
_symmetry_space_group_name_H-M 'P 1'
_symmetry_Int_Tables_number 1
loop_
_symmetry_equiv_pos_as_xyz
'x,y,z'
loop_
_atom_site_label
_atom_site_type_symbol
_atom_site_fract_x
_atom_site_fract_y
_atom_site_fract_z
Tb1 Tb 0.693 0.559 0.387
Tb2 Tb 0.850 0.143 0.700
Tb3 Tb 0.150 0.857 0.300
Tb4 Tb 0.500 0.500 0.000
Tb5 Tb 0.307 0.441 0.613
Ce1 Ce 0.500 0.000 0.000
Pb1 Pb 0.309 0.851 0.617
Pb2 Pb 0.944 0.657 0.888
Pb3 Pb 0.691 0.149 0.383
Pb4 Pb 0.056 0.343 0.112


# Ga3TcH | the Alexandria database | PBE | optimized geometry
# Polymorph energy (0 for the lowest one) ... 0 meV/atom
# Space group ... No. 2
# Size of the total moment ... 0.00 μB/f.u.
# DOS(E_F) ... 2.21 states/eV per cell
data_Ga3TcH
_cell_length_a 5.606
_cell_length_b 5.165
_cell_length_c 7.066
_cell_angle_alpha 75.92
_cell_angle_beta 63.57
_cell_angle_gamma 57.05
_symmetry_space_group_name_H-M 'P 1'
_symmetry_Int_Tables_number 1
loop_
_symmetry_equiv_pos_as_xyz
'x,y,z'
loop_
_atom_site_label
_atom_site_type_symbol
_atom_site_fract_x
_atom_site_fract_y
_atom_site_fract_z
Ga1 Ga 0.610 0.499 0.792
Ga2 Ga 0.946 0.876 0.796
Ga3 Ga 0.322 0.123 0.796
Ga4 Ga 0.390 0.501 0.208
Ga5 Ga 0.054 0.124 0.204
Ga6 Ga 0.678 0.877 0.204
Tc1 Tc 0.855 0.789 0.500
Tc2 Tc 0.145 0.211 0.500
H1 H 0.260 0.499 0.873
H2 H 0.740 0.501 0.127


# Rb4Np3HgTe8 | the Alexandria database | PBE | optimized geometry
# Space group ... No. 166
# Size of the total moment ... 10.90 μB/f.u.
# DOS(E_F) ... 27.35 states/eV per cell
# Raw total energy ... -5.0220 eV/atom
data_Rb4Np3HgTe8
_cell_length_a 9.228
_cell_length_b 9.975
_cell_length_c 9.231
_cell_angle_alpha 117.57
_cell_angle_beta 119.99
_cell_angle_gamma 90.00
_symmetry_space_group_name_H-M 'P 1'
_symmetry_Int_Tables_number 1
loop_
_symmetry_equiv_pos_as_xyz
'x,y,z'
loop_
_atom_site_label
_atom_site_type_symbol
_atom_site_fract_x
_atom_site_fract_y
_atom_site_fract_z
Rb1 Rb 0.500 0.000 0.000
Rb2 Rb 0.500 0.000 0.500
Rb3 Rb 0.000 0.000 0.000
Rb4 Rb 0.000 0.000 0.500
Np1 Np 0.500 0.500 0.000
Np2 Np 0.500 0.500 0.500
Np3 Np 0.000 0.500 0.500
Hg1 Hg 0.000 0.500 0.000
Te1 Te 0.236 0.695 0.959
Te2 Te 0.236 0.695 0.472
Te3 Te 0.267 0.301 0.534
Te4 Te 0.724 0.695 0.959
Te5 Te 0.276 0.305 0.041
Te6 Te 0.733 0.699 0.466
Te7 Te 0.764 0.305 0.528
Te8 Te 0.764 0.305 0.041


# CaNiPd3 | the Alexandria database | PBE | optimized geometry
# Formation energy from the elements ... 1.12 eV per atom
# Polymorph energy (0 for the lowest one) ... 1051 meV/atom
# Space group ... No. 221
# Size of the total moment ... 0.79 μB/f.u.
# DOS(E_F) ... 6.49 states/eV per cell
data_CaNiPd3
_cell_length_a 4.862
_cell_length_b 4.862
_cell_length_c 4.862
_cell_angle_alpha 90.00
_cell_angle_beta 90.00
_cell_angle_gamma 90.00
_symmetry_space_group_name_H-M 'P 1'
_symmetry_Int_Tables_number 1
loop_
_symmetry_equiv_pos_as_xyz
'x,y,z'
loop_
_atom_site_label
_atom_site_type_symbol
_atom_site_fract_x
_atom_site_fract_y
_atom_site_fract_z
Ni1 Ni 0.500 0.500 0.500
Ca1 Ca 0.000 0.000 0.000
Pd1 Pd 0.000 0.500 0.000
Pd2 Pd 0.000 0.000 0.500
Pd3 Pd 0.500 0.000 0.000


# Y2ThFe9 | the Alexandria database | PBE | optimized geometry
# Formation energy from the elements ... -0.07 eV per atom
# Space group ... No. 166
# Size of the total moment ... 17.04 μB/f.u.
# DOS(E_F) ... 13.44 states/eV per cell
data_Y2ThFe9
_cell_length_a 5.110
_cell_length_b 5.110
_cell_length_c 8.737
_cell_angle_alpha 72.99
_cell_angle_beta 72.99
_cell_angle_gamma 60.00
_symmetry_space_group_name_H-M 'P 1'
_symmetry_Int_Tables_number 1
loop_
_symmetry_equiv_pos_as_xyz
'x,y,z'
loop_
_atom_site_label
_atom_site_type_symbol
_atom_site_fract_x
_atom_site_fract_y
_atom_site_fract_z
Y1 Y 0.858 0.858 0.427
Y2 Y 0.142 0.142 0.573
Th1 Th 0.000 0.000 0.000
Fe1 Fe 0.668 0.668 0.997
Fe2 Fe 0.332 0.332 0.003
Fe3 Fe 0.500 0.500 0.500
Fe4 Fe 0.418 0.418 0.247
Fe5 Fe 0.916 0.418 0.247
Fe6 Fe 0.418 0.916 0.247
Fe7 Fe 0.582 0.582 0.753
Fe8 Fe 0.582 0.084 0.753
Fe9 Fe 0.084 0.582 0.753


# Ba2GaPtN | the Alexandria database | PBE | optimized geometry
# Polymorph energy (0 for the lowest one) ... 0 meV/atom
# Space group ... No. 11
# Size of the total moment ... 0.00 μB/f.u.
# DOS(E_F) ... 3.83 states/eV per cell
data_Ba2GaPtN
_cell_length_a 4.398
_cell_length_b 6.866
_cell_length_c 9.454
_cell_angle_alpha 110.41
_cell_angle_beta 90.00
_cell_angle_gamma 90.00
_symmetry_space_group_name_H-M 'P 1'
_symmetry_Int_Tables_number 1
loop_
_symmetry_equiv_pos_as_xyz
'x,y,z'
loop_
_atom_site_label
_atom_site_type_symbol
_atom_site_fract_x
_atom_site_fract_y
_atom_site_fract_z
Ba1 Ba 0.750 0.834 0.624
Ba2 Ba 0.750 0.778 0.027
Ba3 Ba 0.250 0.166 0.376
Ba4 Ba 0.250 0.222 0.973
Ga1 Ga 0.250 0.521 0.733
Ga2 Ga 0.750 0.479 0.267
Pt1 Pt 0.250 0.654 0.306
Pt2 Pt 0.750 0.346 0.694
N1 N 0.250 0.814 0.831
N2 N 0.750 0.186 0.169


# CuI2N6 | the Alexandria database | PBE | optimized geometry
# Polymorph energy (0 for the lowest one) ... 921 meV/atom
# Space group ... No. 225
# Size of the total moment ... 0.00 μB/f.u.
# DOS(E_F) ... 6.27 states/eV per cell
data_CuI2N6
_cell_length_a 5.318
_cell_length_b 5.318
_cell_length_c 5.318
_cell_angle_alpha 60.00
_cell_angle_beta 60.00
_cell_angle_gamma 60.00
_symmetry_space_group_name_H-M 'P 1'
_symmetry_Int_Tables_number 1
loop_
_symmetry_equiv_pos_as_xyz
'x,y,z'
loop_
_atom_site_label
_atom_site_type_symbol
_atom_site_fract_x
_atom_site_fract_y
_atom_site_fract_z
Cu1 Cu 0.000 0.000 0.000
I1 I 0.250 0.250 0.250
I2 I 0.750 0.750 0.750
N1 N 0.249 0.751 0.249
N2 N 0.751 0.249 0.751
N3 N 0.249 0.249 0.751
N4 N 0.751 0.751 0.249
N5 N 0.751 0.249 0.249
N6 N 0.249 0.751 0.751


# Ti5Ga4Re | the Alexandria database | PBE | optimized geometry
# Formation energy from the elements ... -0.41 eV per atom
# Space group ... No. 123
# Size of the total moment ... 0.00 μB/f.u.
# DOS(E_F) ... 8.47 states/eV per cell
data_Ti5Ga4Re
_cell_length_a 3.287
_cell_length_b 3.287
_cell_length_c 14.472
_cell_angle_alpha 90.00
_cell_angle_beta 90.00
_cell_angle_gamma 90.00
_symmetry_space_group_name_H-M 'P 1'
_symmetry_Int_Tables_number 1
loop_
_symmetry_equiv_pos_as_xyz
'x,y,z'
loop_
_atom_site_label
_atom_site_type_symbol
_atom_site_fract_x
_atom_site_fract_y
_atom_site_fract_z
Ti1 Ti 0.500 0.500 0.100
Ti2 Ti 0.500 0.500 0.303
Ti3 Ti 0.500 0.500 0.500
Ti4 Ti 0.500 0.500 0.697
Ti5 Ti 0.500 0.500 0.900
Ga1 Ga 0.000 0.000 0.199
Ga2 Ga 0.000 0.000 0.403
Ga3 Ga 0.000 0.000 0.597
Ga4 Ga 0.000 0.000 0.801
Re1 Re 0.000 0.000 0.000


# MgOs2Pt | the Alexandria database | PBE | optimized geometry
# Formation energy from the elements ... 0.06 eV per atom
# Space group ... No. 12
# Size of the total moment ... 0.00 μB/f.u.
# DOS(E_F) ... 4.74 states/eV per cell
data_MgOs2Pt
_cell_length_a 4.900
_cell_length_b 4.900
_cell_length_c 4.685
_cell_angle_alpha 80.93
_cell_angle_beta 80.93
_cell_angle_gamma 32.82
_symmetry_space_group_name_H-M 'P 1'
_symmetry_Int_Tables_number 1
loop_
_symmetry_equiv_pos_as_xyz
'x,y,z'
loop_
_atom_site_label
_atom_site_type_symbol
_atom_site_fract_x
_atom_site_fract_y
_atom_site_fract_z
Mg1 Mg 0.250 0.250 0.250
Os1 Os 0.006 0.006 0.004
Os2 Os 0.494 0.494 0.496
Pt1 Pt 0.750 0.750 0.750


# TmTiAu2 | the Alexandria database | PBE | optimized geometry
# Formation energy from the elements ... -0.54 eV per atom
# Polymorph energy (0 for the lowest one) ... 26 meV/atom
# Space group ... No. 166
# Size of the total moment ... 0.47 μB/f.u.
# DOS(E_F) ... 3.74 states/eV per cell
data_TmTiAu2
_cell_length_a 4.616
_cell_length_b 4.616
_cell_length_c 5.198
_cell_angle_alpha 63.64
_cell_angle_beta 63.64
_cell_angle_gamma 60.00
_symmetry_space_group_name_H-M 'P 1'
_symmetry_Int_Tables_number 1
loop_
_symmetry_equiv_pos_as_xyz
'x,y,z'
loop_
_atom_site_label
_atom_site_type_symbol
_atom_site_fract_x
_atom_site_fract_y
_atom_site_fract_z
Tm1 Tm 0.000 0.000 0.000
Au1 Au 0.778 0.778 0.666
Au2 Au 0.222 0.222 0.334
Ti1 Ti 0.500 0.500 0.500


# NaHBr2 | the Alexandria database | PBE | optimized geometry
# Polymorph energy (0 for the lowest one) ... 931 meV/atom
# Space group ... No. 166
# Size of the total moment ... 0.00 μB/f.u.
# DOS(E_F) ... 0.00 states/eV per cell
data_NaHBr2
_cell_length_a 8.232
_cell_length_b 8.232
_cell_length_c 8.232
_cell_angle_alpha 27.09
_cell_angle_beta 27.09
_cell_angle_gamma 27.09
_symmetry_space_group_name_H-M 'P 1'
_symmetry_Int_Tables_number 1
loop_
_symmetry_equiv_pos_as_xyz
'x,y,z'
loop_
_atom_site_label
_atom_site_type_symbol
_atom_site_fract_x
_atom_site_fract_y
_atom_site_fract_z
Na1 Na 0.000 0.000 0.000
Br1 Br 0.889 0.889 0.889
Br2 Br 0.111 0.111 0.111
H1 H 0.500 0.500 0.500


# Pr2AlCd16 | the Alexandria database | PBE | optimized geometry
# Formation energy from the elements ... -0.15 eV per atom
# Space group ... No. 160
# Size of the total moment ... 0.00 μB/f.u.
# DOS(E_F) ... 5.47 states/eV per cell
data_Pr2AlCd16
_cell_length_a 7.666
_cell_length_b 7.666
_cell_length_c 7.666
_cell_angle_alpha 82.66
_cell_angle_beta 82.66
_cell_angle_gamma 82.66
_symmetry_space_group_name_H-M 'P 1'
_symmetry_Int_Tables_number 1
loop_
_symmetry_equiv_pos_as_xyz
'x,y,z'
loop_
_atom_site_label
_atom_site_type_symbol
_atom_site_fract_x
_atom_site_fract_y
_atom_site_fract_z
Pr1 Pr 0.673 0.673 0.673
Pr2 Pr 0.325 0.325 0.325
Al1 Al 0.903 0.903 0.903
Cd1 Cd 0.696 0.001 0.304
Cd2 Cd 0.001 0.304 0.696
Cd3 Cd 0.304 0.696 0.001
Cd4 Cd 0.001 0.696 0.304
Cd5 Cd 0.696 0.304 0.001
Cd6 Cd 0.304 0.001 0.696
Cd7 Cd 0.341 0.872 0.341
Cd8 Cd 0.872 0.341 0.341
Cd9 Cd 0.341 0.341 0.872
Cd10 Cd 0.628 0.207 0.628
Cd11 Cd 0.207 0.628 0.628
Cd12 Cd 0.628 0.628 0.207
Cd13 Cd 0.980 0.529 0.980
Cd14 Cd 0.529 0.980 0.980
Cd15 Cd 0.980 0.980 0.529
Cd16 Cd 0.093 0.093 0.093